No. 1
## YH2PbCl (PBE)

Data for a relaxed structure of YH2PbCl.

Results
E = -3.66 eV per atom
DOS(E_F) = 4.34 states/eV per cell

a b c (Å): 3.974 6.901 3.974
angles (deg): 90.00 90.00 90.00
Positions (direct):
1 H 0.000 0.000 0.500
2 H 0.500 0.000 0.000
3 Pb 0.000 0.000 0.000
4 Y 0.500 0.500 0.500
5 Cl 0.000 0.500 0.000

***

No. 2
## H2PdCl (PBE)

Data for a relaxed structure of H2PdCl.

Results
E above lowest polymorph = 0.000 eV/atom
DOS(E_F) = 0.00 states/eV per cell

a b c (Å): 5.083 5.083 5.249
angles (deg): 61.04 61.04 90.00
Positions (direct):
1 Cl 0.250 0.750 0.500
2 Cl 0.500 0.500 0.000
3 Pd 0.000 0.000 0.000
4 Pd 0.750 0.250 0.500
5 H 0.375 0.228 0.750
6 H 0.772 0.125 0.250
7 H 0.875 0.022 0.750
8 H 0.978 0.625 0.250

***

No. 3
## H2PdCl4 (PBE)

Data for a relaxed structure of H2PdCl4.

Results
E = -3.08 eV per atom
DOS(E_F) = 8.75 states/eV per cell

a b c (Å): 4.717 4.717 9.706
angles (deg): 75.94 75.94 90.00
Each line ends with the local moment (μB).
Positions (direct):
1 H 0.611 0.611 0.779  0.00
2 H 0.389 0.389 0.221  0.00
3 Pd 0.000 0.000 0.000  0.27
4 Cl 0.500 0.000 0.000  0.08
5 Cl 0.681 0.681 0.638  0.02
6 Cl 0.000 0.500 0.000  0.08
7 Cl 0.319 0.319 0.362  0.02

***

No. 4
## HPdCl (PBE)

Data for a relaxed structure of HPdCl.

Results
E above lowest polymorph = 0.000 eV/atom
DOS(E_F) = 2.06 states/eV per cell

a b c (Å): 3.556 4.910 7.875
angles (deg): 108.28 132.89 89.82
Positions (direct):
1 Cl 0.802 0.352 0.204
2 Cl 0.198 0.648 0.796
3 Pd 0.911 0.887 0.275
4 Pd 0.089 0.113 0.725
5 H 0.408 0.052 0.605
6 H 0.592 0.948 0.395

***

No. 5
## HPdCl5 (PBE)

Data for a relaxed structure of HPdCl5.

Results
E = -2.84 eV per atom
DOS(E_F) = 7.28 states/eV per cell

a b c (Å): 7.835 7.835 18.359
angles (deg): 52.47 52.47 26.42
Each line ends with the local moment (μB).
Positions (direct):
1 Pd 0.975 0.944 0.519  0.07
2 Pd 0.944 0.975 0.019  0.07
3 Cl 0.414 0.391 0.471  0.03
4 Cl 0.150 0.123 0.373  0.00
5 Cl 0.391 0.414 0.971  0.03
6 Cl 0.768 0.798 0.168  0.00
7 Cl 0.001 0.090 0.708  0.00
8 Cl 0.529 0.503 0.568  0.03
9 Cl 0.503 0.529 0.068  0.03
10 Cl 0.090 0.001 0.208  0.00
11 Cl 0.798 0.768 0.668  0.00
12 Cl 0.123 0.150 0.873  0.00
13 H 0.346 0.927 0.185  0.00
14 H 0.927 0.346 0.685  0.00

***

No. 6
## HPd2Cl (PBE)

Data for a relaxed structure of HPd2Cl.

Results
E above lowest polymorph = 0.000 eV/atom
DOS(E_F) = 2.66 states/eV per cell

a b c (Å): 5.046 5.046 5.833
angles (deg): 64.38 64.38 90.00
Positions (direct):
1 Pd 0.234 0.625 0.250
2 Pd 0.516 0.125 0.250
3 Pd 0.875 0.766 0.750
4 Pd 0.375 0.484 0.750
5 H 0.500 0.500 0.000
6 H 0.250 0.750 0.500
7 Cl 0.000 0.000 0.000
8 Cl 0.750 0.250 0.500

***

Question: Which of these has the highest DOS(E_F)?
Answer: H2PdCl4

***

Question: The highest DOS(E_F) belongs to which entry?
Answer: H2PdCl4

***

Question: Which of these has the highest DOS(E_F)?
Answer: H2PdCl4

***

Question: What is the formula in the third record?
Answer: H2PdCl4